An optimized crystal structure of Hf2MnTc, computed with GGA-PBE.

Structure (POSCAR):
```
Hf2MnTc
1.0
4.8257 -1.5809 -3.1216
-1.1460 4.9471 3.1216
-3.3302 -0.0539 4.9434
Hf Mn Tc
2 1 1
direct
0.0000 0.2503 0.2503
0.0000 0.7497 0.7497
0.0000 0.0000 0.0000
0.0000 0.5000 0.5000
```

Summary:
- V: 74.7 Å³/f.u.
- Space-group type: Immm
- Formation enthalpy at 0 K: 15.1 kcal/mol of atoms
- Calculated total energy: -9.206 eV per atom